Below is a relaxed Pm5P4Se crystal, with properties calculated at the GGA-PBE level.

Calculated values
Formation energy from raw total energies   -1672 meV/atom
Symmetry   Immm
Spin magnetization   0.0 μB/cell

Structure (extended XYZ):
```
10
Lattice="-2.070 2.930 10.393 2.070 -2.930 10.393 2.070 2.930 -10.393" Properties=species:S:1:pos:R:3 pbc="T T T"
Pm 0.000 0.000 0.000
Pm 0.000 0.000 4.146
Pm 0.000 0.000 8.172
Pm 0.000 0.000 12.615
Pm 0.000 0.000 16.641
P 2.070 0.000 2.060
P 2.070 0.000 6.220
P 0.000 2.930 4.173
P 0.000 2.930 8.333
Se 0.000 2.930 0.000
```